# 1
Zr3TiSi after structural relaxation. Source: the Alexandria database, functional PBE-GGA.

The value obtained for the magnetic moment is 0.0 Bohr magnetons per cell. The calculation puts the total energy at -6.942 eV per atom.

It has space group Pm-3m (No. 221), with a = 4.867 Å, b = 4.867 Å, c = 4.867 Å, α = 90.00°, β = 90.00° and γ = 90.00°. The asymmetric unit holds Zr at (0.000, 0.000, 0.500), Ti at (0.000, 0.000, 0.000) and Si at (0.500, 0.500, 0.500).

=====

# 2
Mn2SnSe4 after structural relaxation. Source: the Alexandria database, functional PBE-GGA.

The value obtained for the magnetic moment is 32.1 Bohr magnetons per cell. The calculation puts the total energy at -5.498 eV per atom.

It has space group I4_1/a (No. 88, origin choice 2), with a = 7.234 Å, b = 7.234 Å, c = 12.686 Å, α = 90.00°, β = 90.00° and γ = 90.00°. The asymmetric unit holds Mn at (0.000, 0.000, 0.000), Sn at (0.000, 0.250, 0.625) and Se at (0.129, 0.039, 0.820).

=====

# 3
K2ZrAl after structural relaxation. Source: the Alexandria database, functional PBE-GGA.

The value obtained for the magnetic moment is 2.7 Bohr magnetons per cell. The calculation puts the total energy at -2.849 eV per atom.

It has space group Cmmm (No. 65), with a = 6.319 Å, b = 12.683 Å, c = 3.097 Å, α = 90.00°, β = 90.00° and γ = 90.00°. The asymmetric unit holds K at (0.250, 0.250, 0.000), Zr at (0.000, 0.000, 0.500) and Al at (0.000, 0.500, 0.500).

=====

Which value of magnetic moment does entry 2 give?
32.1 Bohr magnetons per cell

=====

Among the records above, which one has the highest magnetic moment?
Mn2SnSe4

=====

Please write out number 2 again, unchanged.
Mn2SnSe4 after structural relaxation. Source: the Alexandria database, functional PBE-GGA.

The value obtained for the magnetic moment is 32.1 Bohr magnetons per cell. The calculation puts the total energy at -5.498 eV per atom.

It has space group I4_1/a (No. 88, origin choice 2), with a = 7.234 Å, b = 7.234 Å, c = 12.686 Å, α = 90.00°, β = 90.00° and γ = 90.00°. The asymmetric unit holds Mn at (0.000, 0.000, 0.000), Sn at (0.000, 0.250, 0.625) and Se at (0.129, 0.039, 0.820).

=====

What did the first record say?
Zr3TiSi after structural relaxation. Source: the Alexandria database, functional PBE-GGA.

The value obtained for the magnetic moment is 0.0 Bohr magnetons per cell. The calculation puts the total energy at -6.942 eV per atom.

It has space group Pm-3m (No. 221), with a = 4.867 Å, b = 4.867 Å, c = 4.867 Å, α = 90.00°, β = 90.00° and γ = 90.00°. The asymmetric unit holds Zr at (0.000, 0.000, 0.500), Ti at (0.000, 0.000, 0.000) and Si at (0.500, 0.500, 0.500).